1.
Compound: AcLuGe
Source: Alexandria via LeMat-Bulk
Functional: PBE-GGA
Structure: relaxed

Cell: 4.6096 4.8203 4.8203 Å, 120.00 90.00 90.00°
Sites, in units of the cell vectors:
Ge1 0.1665 0.0000 0.0000
Lu1 0.1667 0.6667 0.3333
Ac1 0.6668 0.3333 0.6667

Properties
ΔE to the lowest computed polymorph: 0.000 eV/atom
formation energy: -0.455 eV per atom


2.
Compound: TbPm15Y4
Source: Alexandria via LeMat-Bulk
Functional: PBE-GGA
Structure: relaxed

Cell: 5.1391 5.1391 25.6120 Å, 90.00 90.00 90.00°
Sites, in units of the cell vectors:
Y1 0.0000 0.0000 0.2001
Pm1 0.5000 0.5000 0.0000
Pm2 0.0000 0.5000 0.3001
Pm3 0.5000 0.5000 0.4000
Pm4 0.0000 0.5000 0.5000
Pm5 0.5000 0.5000 0.7999
Pm6 0.5000 0.0000 0.0999
Pm7 0.5000 0.0000 0.5000
Y2 0.0000 0.0000 0.4000
Pm8 0.5000 0.0000 0.6999
Pm9 0.0000 0.5000 0.9001
Pm10 0.5000 0.0000 0.9001
Pm11 0.0000 0.5000 0.0999
Y3 0.0000 0.0000 0.7999
Tb1 0.0000 0.0000 0.0000
Y4 0.0000 0.0000 0.6000
Pm12 0.5000 0.5000 0.6000
Pm13 0.5000 0.5000 0.2001
Pm14 0.0000 0.5000 0.6999
Pm15 0.5000 0.0000 0.3001

Properties
formation energy: 0.012 eV per atom


3.
Compound: CsTl2Bi4
Source: Alexandria via LeMat-Bulk
Functional: PBE-GGA
Structure: relaxed

Cell: 7.0675 7.0743 7.0743 Å, 75.61 60.03 60.03°
Sites, in units of the cell vectors:
Bi1 0.3210 0.3580 0.0000
Cs1 0.0000 0.0000 0.0000
Bi2 0.6790 0.6420 0.0000
Tl1 0.7500 0.5000 0.5000
Tl2 0.2500 0.5000 0.5000
Bi3 0.6790 0.0000 0.6420
Bi4 0.3210 0.0000 0.3580

Properties
formation energy: -0.070 eV per atom


4.
Compound: Sm2GePd
Source: Alexandria via LeMat-Bulk
Functional: PBE-GGA
Structure: relaxed

Cell: 3.5594 3.5594 7.4257 Å, 90.00 90.00 90.00°
Sites, in units of the cell vectors:
Ge1 0.5000 0.5000 0.5000
Sm1 0.0000 0.0000 0.2457
Pd1 0.5000 0.5000 0.0000
Sm2 0.0000 0.0000 0.7543

Properties
formation energy: -0.731 eV per atom


5.
Compound: Dy2Be4Si3Au
Source: Alexandria via LeMat-Bulk
Functional: PBE-GGA
Structure: relaxed

Cell: 3.8758 3.8758 9.8228 Å, 90.00 90.00 90.00°
Sites, in units of the cell vectors:
Be1 0.0000 0.5000 0.3608
Dy1 0.5000 0.0000 0.2429
Dy2 0.0000 0.5000 0.7571
Be2 0.5000 0.0000 0.6392
Be3 0.0000 0.0000 0.0000
Si1 0.0000 0.5000 0.1324
Au1 0.5000 0.5000 0.5000
Be4 0.5000 0.5000 0.0000
Si2 0.0000 0.0000 0.5000
Si3 0.5000 0.0000 0.8676

Properties
energy relative to the elements, uncorrected: -471 meV/atom


6.
Compound: WCSeBr2
Source: Alexandria via LeMat-Bulk
Functional: PBE-GGA
Structure: relaxed

Cell: 5.1480 5.1480 4.8555 Å, 90.00 90.00 90.00°
Sites, in units of the cell vectors:
Br1 0.0000 0.5000 0.0000
Se1 0.0000 0.0000 0.5000
W1 0.0000 0.0000 0.0000
Br2 0.5000 0.0000 0.0000
C1 0.5000 0.5000 0.5000

Properties
energy relative to the elements, uncorrected: 1568 meV/atom
ΔE to the lowest computed polymorph: 0.000 eV/atom


Record-wise spin magnetization values, in μB per cell: 0.0; 0.0; 0.0; 0.0; 0.0; 3.2